## Y4Ho2Er7 (PBE)

Data for a relaxed structure of Y4Ho2Er7.

Geometry as extended XYZ:
```
13
Lattice="-5.9938 -0.6130 -0.2038 3.4366 -4.5831 1.8785 -0.8740 4.4244 12.3936" Properties=species:S:1:pos:R:3 pbc="T T T"
Y -0.5303 2.6846 7.5200
Y -6.3375 1.1268 4.6697
Y -3.2874 0.2758 6.6871
Y -0.1439 -1.0475 7.3812
Ho -2.8504 -1.9364 0.4903
Ho 0.2931 -3.2597 1.1844
Er 1.5296 0.5230 10.9586
Er 1.0330 -0.6817 3.3135
Er 0.0000 0.0000 0.0000
Er -4.5540 3.0840 9.6153
Er -2.3139 0.7273 2.5745
Er -1.8363 -2.4071 3.7271
Er -1.5949 1.6354 10.3411
```

Values from the calculation:
Calculated total energy = -64.76 eV/cell
Mass density = 7.43 g/cm³
Magnetic moment = 0.004 μB per formula unit
DFT formation energy = 169 meV per atom
SG = P-31m